(1)
PBE NdPu2Tl, relaxed; DOS at the Fermi energy = 12.93 states/eV per cell; uncorrected energy = -8.773 eV/atom; offset from the most stable computed form = 199.9 meV per atom
1.0
0.000 3.848 3.848
3.848 0.000 3.848
3.848 3.848 0.000
Nd Pu Tl
1 2 1
Cartesian
0.000 0.000 0.000
1.924 1.924 1.924
5.772 5.772 5.772
3.848 3.848 3.848

(2)
PBE CuNi2HRh, relaxed; DOS at the Fermi energy = 6.84 states/eV per cell; uncorrected energy = -5.176 eV/atom; offset from the most stable computed form = 66.8 meV per atom
1.0
3.646 0.000 0.000
0.000 3.646 0.000
0.000 0.000 3.783
Cu Ni H Rh
1 2 1 1
Cartesian
0.000 0.000 0.000
0.000 1.823 1.892
1.823 0.000 1.892
0.000 0.000 1.892
1.823 1.823 0.000

(3)
PBE LiCr4Re, relaxed; DOS at the Fermi energy = 2.75 states/eV per cell; uncorrected energy = -8.616 eV/atom
1.0
0.000 3.346 3.346
3.346 0.000 3.346
3.346 3.346 0.000
Li Cr Re
1 4 1
Cartesian
0.000 0.000 0.000
4.190 2.503 2.503
2.503 4.190 2.503
2.503 2.503 4.190
4.190 4.190 4.190
1.673 1.673 1.673

(4)
PBE LaCu2Re, relaxed; DOS at the Fermi energy = 2.86 states/eV per cell; uncorrected energy = -5.932 eV/atom; offset from the most stable computed form = 90.9 meV per atom
1.0
5.069 -1.432 0.000
5.069 1.432 0.000
-1.746 0.000 4.784
La Cu Re
1 2 1
Cartesian
0.000 0.000 0.000
0.954 0.000 3.741
4.397 0.000 2.380
7.237 0.000 1.827